[1]
Entry from Alexandria: NbCuN2 at its PBEsol-relaxed geometry (meta-GGA SCAN).

Geometry as POSCAR:
```
NbCuN2
1.0
-3.334 -1.703 -0.252
-0.250 -3.419 -1.525
-0.759 -2.969 2.165
Nb N Cu
1 2 1
direct
0.500 0.500 0.500 Nb
0.250 0.250 0.250 N
0.750 0.750 0.750 N
0.000 0.000 0.000 Cu
```

Properties
Calculated total energy (eV per formula unit): -65.97
Crystal system: cubic
ΔE_f (raw) (eV per atom): 0.2345
SG: Fm-3m (225)
Size of the total moment (μB/f.u.): 0.0

[2]
Entry from Alexandria: NbCuN3 at its PBEsol-relaxed geometry (meta-GGA SCAN).

Geometry as POSCAR:
```
NbCuN3
1.0
4.048 0.000 0.000
0.000 4.048 0.000
0.000 0.000 4.048
N Nb Cu
3 1 1
direct
0.000 0.500 0.000 N
0.000 0.000 0.500 N
0.500 0.000 0.000 N
0.000 0.000 0.000 Nb
0.500 0.500 0.500 Cu
```

Properties
Calculated total energy (eV per formula unit): -71.79
Crystal system: cubic
ΔE_f (raw) (eV per atom): 0.8816
SG: Pm-3m (221)
Size of the total moment (μB/f.u.): 3.0

[3]
Entry from Alexandria: NbCuNO2 at its PBEsol-relaxed geometry (meta-GGA SCAN).

Geometry as POSCAR:
```
NbCuNO2
1.0
-0.225 3.125 -1.773
-3.325 -0.854 -1.084
-1.428 1.646 3.082
Cu Nb N O
1 1 1 2
direct
0.000 0.000 0.000 Cu
0.500 0.500 0.500 Nb
0.000 0.000 0.500 N
0.500 0.000 0.000 O
0.000 0.500 0.000 O
```

Properties
Calculated total energy (eV per formula unit): -70.80
Crystal system: tetragonal
ΔE_f (raw) (eV per atom): -0.1432
SG: P4/mmm (123)
Size of the total moment (μB/f.u.): 0.9

[4]
Entry from Alexandria: NbCuTeN2 at its PBEsol-relaxed geometry (meta-GGA SCAN).

Geometry as POSCAR:
```
NbCuTeN2
1.0
-3.311 -2.035 -0.095
-0.029 -0.134 3.885
-2.566 4.169 0.125
Te Nb N Cu
1 1 2 1
direct
0.000 0.000 0.500 Te
0.500 0.500 0.500 Nb
0.000 0.500 0.000 N
0.500 0.000 0.000 N
0.000 0.000 0.000 Cu
```

Properties
Calculated total energy (eV per formula unit): -96.89
Crystal system: tetragonal
ΔE_f (raw) (eV per atom): 1.4549
SG: P4/mmm (123)
Size of the total moment (μB/f.u.): 0.2

[5]
Entry from Alexandria: Y2NbCuN at its PBEsol-relaxed geometry (meta-GGA SCAN).

Geometry as POSCAR:
```
Y2NbCuN
1.0
4.458 0.000 0.000
0.000 5.281 0.000
0.000 0.000 5.281
Y Nb Cu N
2 1 1 1
direct
0.000 0.500 0.000 Y
0.000 0.000 0.500 Y
0.000 0.000 0.000 Nb
0.500 0.000 0.000 Cu
0.500 0.500 0.500 N
```

Properties
Calculated total energy (eV per formula unit): -105.64
Crystal system: tetragonal
ΔE_f (raw) (eV per atom): 1.5323
SG: P4/mmm (123)
Size of the total moment (μB/f.u.): 2.0

[6]
Entry from Alexandria: Cu3NiN at its PBEsol-relaxed geometry (meta-GGA SCAN).

Geometry as POSCAR:
```
Cu3NiN
1.0
-2.821 0.048 -2.465
1.150 -3.288 -1.380
-2.181 -1.796 2.461
Cu Ni N
3 1 1
direct
0.500 0.000 0.000 Cu
0.000 0.000 0.500 Cu
0.000 0.500 0.000 Cu
0.500 0.500 0.500 Ni
0.000 0.000 0.000 N
```

Properties
Calculated total energy (eV per formula unit): -69.45
Crystal system: cubic
ΔE_f (raw) (eV per atom): 0.3218
SG: Pm-3m (221)
Size of the total moment (μB/f.u.): 0.0

[7]
Entry from Alexandria: CuNi3N at its PBEsol-relaxed geometry (meta-GGA SCAN).

Geometry as POSCAR:
```
CuNi3N
1.0
3.676 0.000 0.000
0.000 3.676 0.000
0.000 0.000 3.676
N Ni Cu
1 3 1
direct
0.500 0.500 0.500 N
0.500 0.000 0.500 Ni
0.000 0.500 0.500 Ni
0.500 0.500 0.000 Ni
0.000 0.000 0.000 Cu
```

Properties
Calculated total energy (eV per formula unit): -73.06
Crystal system: cubic
ΔE_f (raw) (eV per atom): -0.0099
SG: Pm-3m (221)
Size of the total moment (μB/f.u.): 1.0

[8]
Entry from Alexandria: CuNiN2 at its PBEsol-relaxed geometry (meta-GGA SCAN).

Geometry as POSCAR:
```
CuNiN2
1.0
2.774 0.000 0.000
1.387 2.402 0.000
1.387 0.801 5.693
Cu N Ni
1 2 1
direct
0.000 0.000 0.000 Cu
0.893 0.893 0.320 N
0.107 0.107 0.680 N
0.500 0.500 0.500 Ni
```

Properties
Calculated total energy (eV per formula unit): -48.00
Crystal system: trigonal
ΔE_f (raw) (eV per atom): 0.4884
SG: R-3m (166)
Size of the total moment (μB/f.u.): 0.3